TbGeTeAuS2 | PBE | relaxed

Cell: 4.007 13.432 11.350 Å, 90.00 90.00 90.00°
Space group Cmcm (No. 63)
Asymmetric unit:
Tb: 0.000 0.000 0.000 (multiplicity 4)
Ge: 0.000 0.239 0.250 (multiplicity 4)
Te: 0.000 0.112 0.750 (multiplicity 4)
Au: 0.000 0.425 0.750 (multiplicity 4)
S: 0.000 0.368 0.552 (multiplicity 8)

Properties
Spin magnetization   0.0 μB/f.u.
Raw total energy   -4.688 eV/atom